! CaMgNiF6 (GGA+U, optimized geometry); values from VASP
! SG ... P-31c
! Total DFT energy (no corrections) ... -5.153 eV per atom
! ρ ... 3359 kg/m3
&SYSTEM
  ibrav = 0, nat = 18, ntyp = 4
/
ATOMIC_SPECIES
Ca 40.08 Ca.upf
Mg 24.30 Mg.upf
Ni 58.69 Ni.upf
F 19.00 F.upf
CELL_PARAMETERS angstrom
-2.894 2.245 -3.754
3.966 -3.179 -1.295
-6.129 -7.696 0.122
ATOMIC_POSITIONS angstrom
Ca 0.000 0.000 0.000
Ca -3.064 -3.848 0.061
Mg 0.147 -3.295 -2.084
Mg -5.204 -5.335 -2.842
Ni -2.140 -1.487 -2.904
Ni -2.917 -7.143 -2.023
F -0.148 -1.679 -3.242
F 0.550 -2.191 -0.454
F -4.931 -4.127 -1.259
F -5.607 -6.439 -4.473
F -1.825 -3.118 -1.739
F 0.346 -4.832 -0.805
F -7.141 -5.183 -2.330
F -0.125 -4.502 -3.667
F -5.403 -3.797 -4.121
F 2.084 -3.446 -2.597
F -3.232 -5.511 -3.188
F -4.909 -6.951 -1.684